Material: TmIn3Ni8
Method: DFT, PBE-GGA
State: relaxed

Cell lengths 4.966, 4.966, 8.016 Å; angles 90.00, 90.00, 120.00 degrees
Positions (direct):
Ni: 0.667 0.834 0.249
Ni: 0.166 0.834 0.249
Ni: 0.998 0.499 0.751
Ni: 0.333 0.667 0.499
Tm: 0.000 0.000 0.569
Ni: 0.501 0.002 0.751
Ni: 0.501 0.499 0.751
In: 0.667 0.333 0.059
Ni: 0.333 0.667 0.996
In: 0.667 0.333 0.433
Ni: 0.166 0.333 0.249
In: 0.000 0.000 0.946

Output
- D(E_F) (states/eV/cell) = 12.5
- magnetization (μB/cell) = 0.0
- crystal system = trigonal
- symmetry = No. 156
- electronic total energy (eV/atom) = -5.119

=====

Material: Re2PSe
Method: DFT, PBE-GGA
State: relaxed

Cell lengths 2.834, 2.834, 9.920 Å; angles 90.00, 90.00, 118.47 degrees
Positions (direct):
Re: 0.000 0.000 0.995
P: 0.500 0.500 0.190
Se: 0.000 0.000 0.549
Re: 0.500 0.500 0.766

Output
- D(E_F) (states/eV/cell) = 2.6
- magnetization (μB/cell) = 0.0
- raw formation energy (meV per atom) = 476
- crystal system = orthorhombic
- symmetry = No. 35

=====

Material: Ho2Ni2Pt
Method: DFT, PBE-GGA
State: relaxed

Cell lengths 5.262, 5.262, 7.800 Å; angles 76.77, 76.77, 60.27 degrees
Positions (direct):
Ho: 0.492 0.211 0.150
Ni: 0.731 0.999 0.498
Pt: 0.187 0.813 0.250
Ho: 0.508 0.789 0.850
Ni: 0.001 0.269 0.002
Ni: 0.999 0.731 0.998
Ho: 0.789 0.508 0.350
Ho: 0.211 0.492 0.650
Ni: 0.269 0.001 0.502
Pt: 0.813 0.187 0.750

Output
- D(E_F) (states/eV/cell) = 7.3
- magnetization (μB/cell) = 0.0
- crystal system = monoclinic
- symmetry = No. 15
- electronic total energy (eV/atom) = -6.083

=====

Material: NaPuGePt
Method: DFT, PBE-GGA
State: relaxed

Cell lengths 4.892, 4.892, 4.892 Å; angles 60.00, 60.00, 60.00 degrees
Each line ends with the local moment (μB).
Positions (direct):
Na: 0.500 0.500 0.500  0.00
Pt: 0.250 0.250 0.250  -0.09
Ge: 0.750 0.750 0.750  -0.03
Pu: 0.000 0.000 0.000  5.04

Output
- D(E_F) (states/eV/cell) = 8.7
- magnetization (μB/cell) = 5.0
- crystal system = cubic
- symmetry = No. 216
- electronic total energy (eV/atom) = -6.853